# CeMgRhAu (PBE, relaxed)
# * spin magnetization: 0.42 Bohr magnetons per cell
# * E_form: -0.57 eV per atom
# * final energy: -5.109 eV/atom
# * space group: F-43m, No. 216
data_CeMgRhAu
_chemical_formula_sum 'Ce1 Mg1 Rh1 Au1'
_cell_length_a 4.867
_cell_length_b 4.867
_cell_length_c 4.867
_cell_angle_alpha 60.00
_cell_angle_beta 60.00
_cell_angle_gamma 60.00
_symmetry_space_group_name_H-M 'P 1'
_symmetry_Int_Tables_number 1
loop_
_symmetry_equiv_pos_as_xyz
'x,y,z'
loop_
_atom_site_label
_atom_site_fract_x
_atom_site_fract_y
_atom_site_fract_z
Rh1 0.500 0.500 0.500
Mg1 0.750 0.750 0.750
Au1 0.000 0.000 0.000
Ce1 0.250 0.250 0.250



# CeMgRuAu (PBE, relaxed)
# * spin magnetization: 0.00 Bohr magnetons per cell
# * E_form: -0.31 eV per atom
# * final energy: -5.330 eV/atom
# * space group: F-43m, No. 216
data_CeMgRuAu
_chemical_formula_sum 'Ce1 Mg1 Ru1 Au1'
_cell_length_a 4.832
_cell_length_b 4.832
_cell_length_c 4.832
_cell_angle_alpha 60.00
_cell_angle_beta 60.00
_cell_angle_gamma 60.00
_symmetry_space_group_name_H-M 'P 1'
_symmetry_Int_Tables_number 1
loop_
_symmetry_equiv_pos_as_xyz
'x,y,z'
loop_
_atom_site_label
_atom_site_fract_x
_atom_site_fract_y
_atom_site_fract_z
Ru1 0.000 0.000 0.000
Mg1 0.250 0.250 0.250
Au1 0.500 0.500 0.500
Ce1 0.750 0.750 0.750



# CeMgSbAu (PBE, relaxed)
# * spin magnetization: 1.15 Bohr magnetons per cell
# * final energy: -4.326 eV/atom
# * space group: F-43m, No. 216
data_CeMgSbAu
_chemical_formula_sum 'Ce1 Mg1 Sb1 Au1'
_cell_length_a 5.160
_cell_length_b 5.160
_cell_length_c 5.160
_cell_angle_alpha 60.00
_cell_angle_beta 60.00
_cell_angle_gamma 60.00
_symmetry_space_group_name_H-M 'P 1'
_symmetry_Int_Tables_number 1
loop_
_symmetry_equiv_pos_as_xyz
'x,y,z'
loop_
_atom_site_label
_atom_site_fract_x
_atom_site_fract_y
_atom_site_fract_z
Sb1 0.500 0.500 0.500
Mg1 0.250 0.250 0.250
Au1 0.000 0.000 0.000
Ce1 0.750 0.750 0.750



# CeMgSc2Au4 (PBE, relaxed)
# * spin magnetization: 0.97 Bohr magnetons per cell
# * E_form: -0.69 eV per atom
# * final energy: -4.854 eV/atom
# * space group: R-3m, No. 166
data_CeMgSc2Au4
_chemical_formula_sum 'Ce1 Mg1 Sc2 Au4'
_cell_length_a 4.772
_cell_length_b 4.772
_cell_length_c 9.014
_cell_angle_alpha 74.65
_cell_angle_beta 74.65
_cell_angle_gamma 60.00
_symmetry_space_group_name_H-M 'P 1'
_symmetry_Int_Tables_number 1
loop_
_symmetry_equiv_pos_as_xyz
'x,y,z'
loop_
_atom_site_label
_atom_site_fract_x
_atom_site_fract_y
_atom_site_fract_z
Ce1 0.000 0.000 0.000
Mg1 0.500 0.500 0.500
Sc1 0.760 0.760 0.721
Sc2 0.240 0.240 0.279
Au1 0.393 0.393 0.822
Au2 0.875 0.875 0.374
Au3 0.125 0.125 0.626
Au4 0.607 0.607 0.178



# CeMg2ScAu4 (PBE, relaxed)
# * spin magnetization: 0.70 Bohr magnetons per cell
# * E_form: -0.70 eV per atom
# * final energy: -4.268 eV/atom
# * space group: R-3m, No. 166
data_CeMg2ScAu4
_chemical_formula_sum 'Ce1 Mg2 Sc1 Au4'
_cell_length_a 4.803
_cell_length_b 4.803
_cell_length_c 8.702
_cell_angle_alpha 73.98
_cell_angle_beta 73.98
_cell_angle_gamma 60.00
_symmetry_space_group_name_H-M 'P 1'
_symmetry_Int_Tables_number 1
loop_
_symmetry_equiv_pos_as_xyz
'x,y,z'
loop_
_atom_site_label
_atom_site_fract_x
_atom_site_fract_y
_atom_site_fract_z
Ce1 0.000 0.000 0.000
Mg1 0.755 0.755 0.735
Mg2 0.245 0.245 0.265
Sc1 0.500 0.500 0.500
Au1 0.387 0.387 0.840
Au2 0.872 0.872 0.385
Au3 0.128 0.128 0.615
Au4 0.613 0.613 0.160



# Ce2MgSi3Au4 (PBE, relaxed)
# * spin magnetization: 1.39 Bohr magnetons per cell
# * final energy: -4.870 eV/atom
# * space group: P-4m2, No. 115
data_Ce2MgSi3Au4
_chemical_formula_sum 'Ce2 Mg1 Si3 Au4'
_cell_length_a 4.306
_cell_length_b 4.306
_cell_length_c 10.798
_cell_angle_alpha 90.00
_cell_angle_beta 90.00
_cell_angle_gamma 90.00
_symmetry_space_group_name_H-M 'P 1'
_symmetry_Int_Tables_number 1
loop_
_symmetry_equiv_pos_as_xyz
'x,y,z'
loop_
_atom_site_label
_atom_site_fract_x
_atom_site_fract_y
_atom_site_fract_z
Ce1 0.500 0.000 0.235
Ce2 0.000 0.500 0.765
Mg1 0.500 0.500 0.500
Si1 0.000 0.000 0.500
Si2 0.500 0.000 0.866
Si3 0.000 0.500 0.134
Au1 0.500 0.500 0.000
Au2 0.000 0.000 0.000
Au3 0.500 0.000 0.640
Au4 0.000 0.500 0.360



# CeSmMg2Au4 (PBE, relaxed)
# * spin magnetization: 0.74 Bohr magnetons per cell
# * E_form: -0.70 eV per atom
# * final energy: -4.071 eV/atom
# * space group: R-3m, No. 166
data_CeSmMg2Au4
_chemical_formula_sum 'Ce1 Sm1 Mg2 Au4'
_cell_length_a 5.033
_cell_length_b 5.033
_cell_length_c 8.551
_cell_angle_alpha 72.89
_cell_angle_beta 72.89
_cell_angle_gamma 60.00
_symmetry_space_group_name_H-M 'P 1'
_symmetry_Int_Tables_number 1
loop_
_symmetry_equiv_pos_as_xyz
'x,y,z'
loop_
_atom_site_label
_atom_site_fract_x
_atom_site_fract_y
_atom_site_fract_z
Ce1 0.500 0.500 0.500
Sm1 0.000 0.000 0.000
Mg1 0.750 0.750 0.751
Mg2 0.250 0.250 0.249
Au1 0.373 0.373 0.881
Au2 0.873 0.873 0.381
Au3 0.127 0.127 0.619
Au4 0.627 0.627 0.119



# CeSmMgAu (PBE, relaxed)
# * spin magnetization: 1.28 Bohr magnetons per cell
# * E_form: -0.27 eV per atom
# * final energy: -4.147 eV/atom
# * space group: F-43m, No. 216
data_CeSmMgAu
_chemical_formula_sum 'Ce1 Sm1 Mg1 Au1'
_cell_length_a 5.308
_cell_length_b 5.308
_cell_length_c 5.308
_cell_angle_alpha 60.00
_cell_angle_beta 60.00
_cell_angle_gamma 60.00
_symmetry_space_group_name_H-M 'P 1'
_symmetry_Int_Tables_number 1
loop_
_symmetry_equiv_pos_as_xyz
'x,y,z'
loop_
_atom_site_label
_atom_site_fract_x
_atom_site_fract_y
_atom_site_fract_z
Mg1 0.750 0.750 0.750
Au1 0.250 0.250 0.250
Ce1 0.000 0.000 0.000
Sm1 0.500 0.500 0.500



# CeMgSnAu (PBE, relaxed)
# * spin magnetization: 0.80 Bohr magnetons per cell
# * E_form: -0.55 eV per atom
# * final energy: -4.254 eV/atom
# * space group: F-43m, No. 216
data_CeMgSnAu
_chemical_formula_sum 'Ce1 Mg1 Sn1 Au1'
_cell_length_a 5.136
_cell_length_b 5.136
_cell_length_c 5.136
_cell_angle_alpha 60.00
_cell_angle_beta 60.00
_cell_angle_gamma 60.00
_symmetry_space_group_name_H-M 'P 1'
_symmetry_Int_Tables_number 1
loop_
_symmetry_equiv_pos_as_xyz
'x,y,z'
loop_
_atom_site_label
_atom_site_fract_x
_atom_site_fract_y
_atom_site_fract_z
Mg1 0.500 0.500 0.500
Au1 0.750 0.750 0.750
Sn1 0.250 0.250 0.250
Ce1 0.000 0.000 0.000



# CeMgSn2Au4 (PBE, relaxed)
# * spin magnetization: 0.85 Bohr magnetons per cell
# * E_form: -0.50 eV per atom
# * final energy: -4.077 eV/atom
# * space group: R-3m, No. 166
data_CeMgSn2Au4
_chemical_formula_sum 'Ce1 Mg1 Sn2 Au4'
_cell_length_a 4.806
_cell_length_b 4.806
_cell_length_c 9.029
_cell_angle_alpha 74.56
_cell_angle_beta 74.56
_cell_angle_gamma 60.00
_symmetry_space_group_name_H-M 'P 1'
_symmetry_Int_Tables_number 1
loop_
_symmetry_equiv_pos_as_xyz
'x,y,z'
loop_
_atom_site_label
_atom_site_fract_x
_atom_site_fract_y
_atom_site_fract_z
Ce1 0.000 0.000 0.000
Mg1 0.500 0.500 0.500
Sn1 0.749 0.749 0.753
Sn2 0.251 0.251 0.247
Au1 0.390 0.390 0.831
Au2 0.862 0.862 0.414
Au3 0.138 0.138 0.586
Au4 0.610 0.610 0.169



# Sr2CeMgAu6 (PBE, relaxed)
# * spin magnetization: 1.12 Bohr magnetons per cell
# * E_form: -0.26 eV per atom
# * final energy: -3.319 eV/atom
# * space group: C2/m, No. 12
data_Sr2CeMgAu6
_chemical_formula_sum 'Sr2 Ce1 Mg1 Au6'
_cell_length_a 7.508
_cell_length_b 7.512
_cell_length_c 7.510
_cell_angle_alpha 60.01
_cell_angle_beta 60.05
_cell_angle_gamma 89.98
_symmetry_space_group_name_H-M 'P 1'
_symmetry_Int_Tables_number 1
loop_
_symmetry_equiv_pos_as_xyz
'x,y,z'
loop_
_atom_site_label
_atom_site_fract_x
_atom_site_fract_y
_atom_site_fract_z
Sr1 0.250 0.750 0.500
Sr2 0.750 0.250 0.500
Ce1 0.500 0.500 0.000
Mg1 0.000 0.000 0.000
Au1 0.238 0.762 0.000
Au2 0.762 0.762 0.000
Au3 0.238 0.238 0.524
Au4 0.762 0.238 0.000
Au5 0.238 0.238 0.000
Au6 0.762 0.762 0.476



# Tb2CeMgAu4 (PBE, relaxed)
# * spin magnetization: 0.92 Bohr magnetons per cell
# * E_form: -0.72 eV per atom
# * final energy: -4.462 eV/atom
# * space group: R-3m, No. 166
data_Tb2CeMgAu4
_chemical_formula_sum 'Tb2 Ce1 Mg1 Au4'
_cell_length_a 5.042
_cell_length_b 5.042
_cell_length_c 8.871
_cell_angle_alpha 73.49
_cell_angle_beta 73.49
_cell_angle_gamma 60.00
_symmetry_space_group_name_H-M 'P 1'
_symmetry_Int_Tables_number 1
loop_
_symmetry_equiv_pos_as_xyz
'x,y,z'
loop_
_atom_site_label
_atom_site_fract_x
_atom_site_fract_y
_atom_site_fract_z
Tb1 0.758 0.758 0.727
Tb2 0.242 0.242 0.273
Ce1 0.000 0.000 0.000
Mg1 0.500 0.500 0.500
Au1 0.385 0.385 0.845
Au2 0.878 0.878 0.367
Au3 0.122 0.122 0.633
Au4 0.615 0.615 0.155



Among the records above, which one has the highest final energy? Sr2CeMgAu6



Among the records above, which one has the lowest spin magnetization? CeMgRuAu